Below is TcNi2Sb after structural relaxation, with properties calculated at the PBE level.

Results
- formation energy without anion corrections (kcal/mol of atoms) = 1.73
- Fermi-level density of states (states/eV/atom) = 1.4635
- SG = P4/mmm (123)

abc: 3.8573 3.8485 3.8048
angles: 90.00 90.00 90.00
Last column: nearest neighbours and their distance in Å.
Fractional positions:
Ni 0.5000 0.5000 0.0000  4 Sb 2.71, 4 Tc 2.71, 4 Ni 2.72
Ni 0.0000 0.0000 0.0000  4 Tc 2.71, 4 Sb 2.71, 4 Ni 2.72
Tc 0.0000 0.5000 0.5000  8 Ni 2.71, 4 Sb 2.72
Sb 0.5000 0.0000 0.5000  8 Ni 2.71, 4 Tc 2.72